A geometry-optimized YZr2W structure. Source: the Alexandria database, functional PBE. Values from VASP.

Energy relative to the elements, eV/f.u.: 1.55
Distance to the lowest polymorph of the same formula, eV per atom: 0.2199
SG: Pmm2, No. 25

The structure in Quantum ESPRESSO input format:
```
&SYSTEM
  ibrav = 0, nat = 4, ntyp = 3
/
ATOMIC_SPECIES
Y 88.91 Y.upf
Zr 91.22 Zr.upf
W 183.84 W.upf
CELL_PARAMETERS angstrom
3.018 0.000 0.000
0.000 4.810 0.000
0.000 0.000 6.159
ATOMIC_POSITIONS crystal
Y 0.000 0.000 0.000
Zr 0.000 0.000 0.527
Zr 0.500 0.500 0.280
W 0.500 0.500 0.739
```

---

A geometry-optimized K3RbNa12 structure. Source: the Alexandria database, functional PBE. Values from VASP.

Energy relative to the elements, eV/f.u.: 0.67
SG: P4/mmm, No. 123

The structure in Quantum ESPRESSO input format:
```
&SYSTEM
  ibrav = 0, nat = 16, ntyp = 3
/
ATOMIC_SPECIES
K 39.10 K.upf
Rb 85.47 Rb.upf
Na 22.99 Na.upf
CELL_PARAMETERS angstrom
5.812 0.000 0.000
0.000 5.812 0.000
0.000 0.000 21.869
ATOMIC_POSITIONS crystal
K 0.000 0.000 0.000
K 0.000 0.000 0.246
K 0.000 0.000 0.754
Rb 0.000 0.000 0.500
Na 0.000 0.500 0.123
Na 0.000 0.500 0.369
Na 0.000 0.500 0.631
Na 0.000 0.500 0.877
Na 0.500 0.000 0.123
Na 0.500 0.000 0.369
Na 0.500 0.000 0.631
Na 0.500 0.000 0.877
Na 0.500 0.500 0.000
Na 0.500 0.500 0.247
Na 0.500 0.500 0.500
Na 0.500 0.500 0.753
```

---

A geometry-optimized BAsSeBr2 structure. Source: the Alexandria database, functional PBE. Values from VASP.

Distance to the lowest polymorph of the same formula, eV per atom: 0.0000
SG: P4/mmm, No. 123

The structure in Quantum ESPRESSO input format:
```
&SYSTEM
  ibrav = 0, nat = 5, ntyp = 4
/
ATOMIC_SPECIES
B 10.81 B.upf
As 74.92 As.upf
Se 78.96 Se.upf
Br 79.90 Br.upf
CELL_PARAMETERS angstrom
4.496 0.000 0.000
0.000 4.496 0.000
0.000 0.000 4.925
ATOMIC_POSITIONS crystal
B 0.000 0.000 0.000
As 0.500 0.500 0.500
Se 0.000 0.000 0.500
Br 0.000 0.500 0.000
Br 0.500 0.000 0.000
```

---

A geometry-optimized K2Cd6Ag structure. Source: the Alexandria database, functional PBE. Values from VASP.

Energy relative to the elements, eV/f.u.: -0.44
SG: C2/m, No. 12

The structure in Quantum ESPRESSO input format:
```
&SYSTEM
  ibrav = 0, nat = 9, ntyp = 3
/
ATOMIC_SPECIES
K 39.10 K.upf
Cd 112.41 Cd.upf
Ag 107.87 Ag.upf
CELL_PARAMETERS angstrom
5.313 -3.249 0.000
5.313 3.249 0.000
-0.151 0.000 7.249
ATOMIC_POSITIONS crystal
K 0.166 0.166 0.389
K 0.834 0.834 0.611
Cd 0.156 0.668 0.167
Cd 0.332 0.844 0.833
Cd 0.335 0.335 0.825
Cd 0.665 0.665 0.175
Cd 0.668 0.156 0.167
Cd 0.844 0.332 0.833
Ag 0.500 0.500 0.500
```

---

Computed values of size of the total moment (unit: Bohr magnetons per cell) for the preceding records, in sequence: 0.0, 0.0, 0.0, 0.0.